No. 1
Material: LiAc2IrPd
Method: DFT, PBE-GGA
State: optimized geometry

Summary:
Calculated volume = 132.6 Å³/f.u.
SG = P4/nmm (129)
DFT total energy = -27.14 eV/f.u.
N(E_F) = 0.503 states/eV per atom
Energy relative to the elements = -285 kJ/mol of formula units

abc: 4.302 4.302 14.325
angles: 90.00 90.00 90.00
Fractional coordinates of all 10 atoms:
Li 0.000 0.000 0.500
Li 0.500 0.500 0.500
Ac 0.000 0.500 0.690
Ac 0.000 0.500 0.107
Ac 0.500 0.000 0.893
Ac 0.500 0.000 0.310
Ir 0.500 0.000 0.112
Ir 0.000 0.500 0.888
Pd 0.500 0.000 0.630
Pd 0.000 0.500 0.370



No. 2
Material: RbSn3Pb
Method: DFT, PBE-GGA
State: optimized geometry

Summary:
Calculated volume = 175.4 Å³/f.u.
SG = Pc (7)
DFT total energy = -16.92 eV/f.u.
Polymorph energy (0 for the lowest one) = 0.028 eV/atom
N(E_F) = 0.726 states/eV per atom
Energy relative to the elements = -23 kJ/mol of formula units

abc: 7.141 7.175 6.844
angles: 89.99 89.90 90.01
Fractional coordinates of all 10 atoms:
Rb 0.475 0.435 0.701
Rb 0.975 0.918 0.201
Sn 0.321 0.272 0.201
Sn 0.478 0.941 0.951
Sn 0.978 0.412 0.451
Sn 0.821 0.081 0.701
Sn 0.978 0.412 0.950
Sn 0.478 0.941 0.450
Pb 0.126 0.778 0.700
Pb 0.626 0.575 0.200



No. 3
Material: KSiAu3
Method: DFT, PBE-GGA
State: optimized geometry

Summary:
Calculated volume = 146.2 Å³/f.u.
SG = P6_3/mmc (194)
DFT total energy = -15.44 eV/f.u.
Energy relative to the elements, uncorrected = 182.8 meV/atom
N(E_F) = 0.658 states/eV per atom

abc: 4.257 4.257 18.624
angles: 90.00 90.00 120.00
Fractional coordinates of all 10 atoms:
K 0.000 0.000 0.000
K 0.000 0.000 0.500
Au 0.000 0.000 0.250
Au 0.000 0.000 0.750
Au 0.333 0.667 0.879
Au 0.333 0.667 0.621
Au 0.667 0.333 0.379
Au 0.667 0.333 0.121
Si 0.333 0.667 0.750
Si 0.667 0.333 0.250



No. 4
Material: CaTb2Nd
Method: DFT, PBE-GGA
State: optimized geometry

Summary:
Calculated volume = 139.1 Å³/f.u.
SG = C2/m (12)
DFT total energy = -15.56 eV/f.u.
Polymorph energy (0 for the lowest one) = 0.058 eV/atom
N(E_F) = 1.504 states/eV per atom
Energy relative to the elements = 45 kJ/mol of formula units

abc: 3.533 6.523 12.231
angles: 85.83 98.30 90.00
Fractional coordinates of all 8 atoms:
Ca 0.499 0.249 0.997
Ca 0.501 0.751 0.003
Tb 0.125 0.965 0.250
Tb 0.366 0.545 0.731
Tb 0.634 0.455 0.269
Tb 0.875 0.035 0.750
Nd 0.252 0.248 0.504
Nd 0.748 0.752 0.496